Compound: K4Cl5
Source: Alexandria via LeMat-Bulk
Functional: GGA-PBEsol
Structure: relaxed

Output
For the total energy, the calculation gives -3.028 eV/atom. Its space group is I4/mmm (139). For the total magnetization, the calculation gives 0.6 Bohr magnetons per cell. As for the density of states at the Fermi level: 3.68 states/eV per cell.

Unit cell a=5.900 b=8.390 c=8.390 alpha=82.90 beta=69.41 gamma=69.41
Sites, in units of the cell vectors:
Cl 0.726 0.548 0.000
K 0.000 0.746 0.254
K 0.000 0.254 0.746
Cl 0.274 0.000 0.452
Cl 0.000 0.000 0.000
Cl 0.726 0.000 0.548
K 0.254 0.746 0.746
K 0.746 0.254 0.254
Cl 0.274 0.452 0.000